Record 1
MgScB2 | PBE | relaxed

Results
- Space-group type: P2/m, No. 10

Lattice parameters (Å, degrees): 5.3806 3.1471 6.5621 90.00 108.64 90.00
Element x y z (fractional)
Mg  0.1087  0.0000  0.2792
Mg  0.8913  0.0000  0.7208
Sc  0.3956  0.5000  0.7275
Sc  0.6044  0.5000  0.2725
B  0.1645  0.5000  0.9999
B  0.3311  0.0000  0.9978
B  0.6689  0.0000  0.0022
B  0.8355  0.5000  0.0001

Record 2
MgSc2B2 | PBE | relaxed

Results
- Space-group type: P4/mbm, No. 127

Lattice parameters (Å, degrees): 6.4018 6.4018 3.5586 90.00 90.00 90.00
Element x y z (fractional)
Mg  0.0000  0.0000  0.0000
Mg  0.5000  0.5000  0.0000
Sc  0.1767  0.3233  0.5000
Sc  0.3233  0.8233  0.5000
Sc  0.6767  0.1767  0.5000
Sc  0.8233  0.6767  0.5000
B  0.0924  0.5924  0.0000
B  0.4076  0.0924  0.0000
B  0.5924  0.9076  0.0000
B  0.9076  0.4076  0.0000

| no. | formation energy from the elements (kJ/mol of atoms) |
| --- | --- |
| 1 | -38.1 |
| 2 | -32.5 |